NaZrNb2: relaxed, PBE.

Properties
SG ... Fm-3m, No. 225
Energy relative to the lowest polymorph listed for this composition ... 0.0 meV per atom

abc: 4.8528 4.8528 4.8528
angles: 60.00 60.00 60.00
With the nearest neighbours (Å) after each atom.
Sites, in units of the cell vectors:
1 Na 0.0000 0.0000 0.0000  8 Nb 2.97
2 Nb 0.2500 0.2500 0.2500  4 Zr 2.97, 4 Na 2.97
3 Nb 0.7500 0.7500 0.7500  4 Zr 2.97, 4 Na 2.97
4 Zr 0.5000 0.5000 0.5000  8 Nb 2.97


NaZrNb3: relaxed, PBE.

Properties
SG ... Pm-3m, No. 221
Energy relative to the lowest polymorph listed for this composition ... 223.7 meV per atom

abc: 4.7455 4.7455 4.7455
angles: 90.00 90.00 90.00
With the nearest neighbours (Å) after each atom.
Sites, in units of the cell vectors:
1 Na 0.0000 0.0000 0.0000  6 Nb 2.37
2 Nb 0.0000 0.5000 0.0000  2 Na 2.37
3 Nb 0.0000 0.0000 0.5000  2 Na 2.37
4 Nb 0.5000 0.0000 0.0000  2 Na 2.37
5 Zr 0.5000 0.5000 0.5000  12 Nb 3.36


NaZrNb2: relaxed, PBE.

Properties
SG ... I-42d, No. 122
Energy relative to the lowest polymorph listed for this composition ... 116.5 meV per atom

abc: 4.0403 4.0403 10.7198
angles: 79.14 79.14 90.00
With the nearest neighbours (Å) after each atom.
Sites, in units of the cell vectors:
1 Na 0.5000 0.5000 0.0000  4 Zr 2.86, 4 Nb 2.97
2 Na 0.2500 0.7500 0.5000  4 Zr 2.86, 4 Nb 2.97
3 Nb 0.6405 0.1250 0.2500  4 Nb 2.77-2.95, 2 Zr 2.93, 2 Na 2.97
4 Nb 0.1095 0.6250 0.2500  4 Nb 2.77-2.95, 2 Zr 2.93, 2 Na 2.97
5 Nb 0.3750 0.3595 0.7500  4 Nb 2.77-2.95, 2 Zr 2.93, 2 Na 2.97
6 Nb 0.8750 0.8905 0.7500  4 Nb 2.77-2.95, 2 Zr 2.93, 2 Na 2.97
7 Zr 0.0000 0.0000 0.0000  4 Na 2.86, 4 Nb 2.93
8 Zr 0.7500 0.2500 0.5000  4 Na 2.86, 4 Nb 2.93


Na6Nd: relaxed, PBE.

Properties
SG ... Im-3m, No. 229
Raw total energy ... -9.05 eV per cell

abc: 7.1252 7.1252 7.1252
angles: 109.47 109.47 109.47
With the nearest neighbours (Å) after each atom.
Sites, in units of the cell vectors:
1 Na 0.2500 0.7500 0.5000  4 Na 2.91
2 Na 0.5000 0.7500 0.2500  4 Na 2.91
3 Na 0.2500 0.5000 0.7500  4 Na 2.91
4 Na 0.7500 0.2500 0.5000  4 Na 2.91
5 Na 0.5000 0.2500 0.7500  4 Na 2.91
6 Na 0.7500 0.5000 0.2500  4 Na 2.91
7 Nd 0.0000 0.0000 0.0000  24 Na 4.60


NaNd: relaxed, PBE.

Properties
SG ... P-3m1, No. 164
Energy relative to the lowest polymorph listed for this composition ... 0.0 meV per atom

abc: 3.6696 3.6696 12.3450
angles: 90.00 90.00 120.00
With the nearest neighbours (Å) after each atom.
Sites, in units of the cell vectors:
1 Na 0.6667 0.3333 0.3721  9 Na 3.67-3.80, 3 Nd 3.79
2 Na 0.3333 0.6667 0.6279  9 Na 3.67-3.80, 3 Nd 3.79
3 Nd 0.6667 0.3333 0.8826  9 Nd 3.59-3.67, 3 Na 3.79
4 Nd 0.3333 0.6667 0.1174  9 Nd 3.59-3.67, 3 Na 3.79


NaNd5: relaxed, PBE.

Properties
SG ... Cmmm, No. 65
Raw total energy ... -24.25 eV per cell

abc: 3.8332 5.9705 9.6074
angles: 108.10 90.00 90.00
With the nearest neighbours (Å) after each atom.
Sites, in units of the cell vectors:
1 Na 0.0000 0.0000 0.0000  8 Nd 3.39-3.55
2 Nd 0.0000 0.6793 0.3586  12 Nd 3.58-3.95
3 Nd 0.0000 0.3207 0.6414  12 Nd 3.58-3.95
4 Nd 0.5000 0.5000 0.0000  4 Na 3.55, 6 Nd 3.79-3.83
5 Nd 0.5000 0.1533 0.3066  2 Na 3.39, 6 Nd 3.58-3.61
6 Nd 0.5000 0.8467 0.6934  2 Na 3.39, 6 Nd 3.58-3.61